1.
VASP calculation (PBE) on a geometry-optimized LiUPt structure.

Cell: 4.7395 4.7558 5.7203 Å, 78.09 65.53 60.11°
Positions (direct):
1 Li 0.7500 0.5000 0.5000
2 Li 0.2500 0.5000 0.5000
3 U 0.8387 0.3225 0.0000
4 U 0.1613 0.6775 0.0000
5 Pt 0.6399 0.0000 0.7203
6 Pt 0.3601 0.0000 0.2797

* uncorrected energy: -39.6 eV/cell
* energy of formation from the pure elements: -0.18 eV/atom

2.
VASP calculation (PBE) on a geometry-optimized AcThN2 structure.

Cell: 3.7502 3.7493 6.6139 Å, 106.38 90.00 120.01°
Positions (direct):
1 Ac 0.0000 0.0000 0.5000
2 Th 0.5000 0.0000 0.0000
3 N 0.2370 0.4740 0.2121
4 N 0.7630 0.5260 0.7879

* uncorrected energy: -33.7 eV/cell
* formation energy (no corrections): -1.373 eV per atom
* offset from the most stable computed form: 0.00 eV per formula unit

3.
VASP calculation (PBE) on a geometry-optimized Cs2SrCoBr6 structure.

Cell: 7.9661 7.9661 7.9664 Å, 60.00 60.00 90.00°
Positions (direct):
1 Cs 0.7500 0.2500 0.5000
2 Cs 0.2500 0.7500 0.5000
3 Sr 0.0000 0.0000 0.0000
4 Co 0.5000 0.5000 0.0000
5 Br 0.2682 0.2682 0.4637
6 Br 0.7318 0.7318 0.5363
7 Br 0.2682 0.2682 0.0000
8 Br 0.7318 0.7318 0.0000
9 Br 0.7318 0.2682 0.0000
10 Br 0.2682 0.7318 0.0000

* uncorrected energy: -34.6 eV/cell
* formation energy (no corrections): -1.403 eV per atom
* offset from the most stable computed form: 0.19 eV per formula unit

4.
VASP calculation (PBE) on a geometry-optimized AcSmZnPt structure.

Cell: 5.2704 5.2704 5.2704 Å, 60.00 60.00 60.00°
Positions (direct):
1 Zn 0.7500 0.7500 0.7500
2 Ac 0.5000 0.5000 0.5000
3 Sm 0.0000 0.0000 0.0000
4 Pt 0.2500 0.2500 0.2500

* uncorrected energy: -18.6 eV/cell
* energy of formation from the pure elements: -0.62 eV/atom
* offset from the most stable computed form: 0.26 eV per formula unit

no.,density of states at the Fermi level (states/eV/f.u.)
1,4.061
2,1.289
3,13.665
4,2.843